No. 1
A relaxed BeP2HO crystal. Source: Alexandria via LeMat-Bulk, functional PBE-GGA.

Cell: 4.6908 4.6908 2.8674 Å, 90.00 90.00 90.00°
With the nearest neighbours (Å) after each atom.
Fractional positions:
Be1 0.0000 0.0000 0.0000  2 O 1.43
P1 0.0000 0.5000 0.0000  2 Be 2.35
P2 0.5000 0.0000 0.0000  2 Be 2.35
H1 0.5000 0.5000 0.5000  8 P 2.75, 2 H 2.87
O1 0.0000 0.0000 0.5000  2 Be 1.43

crystal system = tetragonal
energy above the lowest structure with this stoichiometry = 0.000 eV/atom

No. 2
A relaxed PrBeH2O4 crystal. Source: Alexandria via LeMat-Bulk, functional PBE-GGA.

Cell: 4.6863 4.6863 4.6863 Å, 125.03 107.15 97.53°
With the nearest neighbours (Å) after each atom.
Fractional positions:
Pr1 0.0000 0.0000 0.0000  8 O 2.50-2.52
Be1 0.5000 0.5000 0.0000  4 O 1.66
H1 0.3388 0.8388 0.5000  2 O 1.24
H2 0.6612 0.1612 0.5000  2 O 1.24
O1 0.2151 0.0773 0.6099  1 H 1.24
O2 0.4674 0.6052 0.3901  1 H 1.24
O3 0.5326 0.9227 0.1378  1 H 1.24
O4 0.7849 0.3948 0.8622  1 H 1.24

crystal system = orthorhombic
raw total energy = -6.2559 eV per atom

No. 3
A relaxed PuBeH2O6 crystal. Source: Alexandria via LeMat-Bulk, functional PBE-GGA.

Cell: 5.2325 5.3722 5.4938 Å, 77.45 63.83 66.06°
With the nearest neighbours (Å) after each atom.
Fractional positions:
Pu1 0.0000 0.0000 0.0000  4 O 1.82-1.89
Be1 0.4833 0.6480 0.3438  4 O 1.60-1.69
H1 0.5068 0.2384 0.4773  1 O 0.98
H2 0.5119 0.5572 0.7273  1 O 0.98
O1 0.2020 0.7873 0.2293  1 Be 1.69
O2 0.2191 0.2227 0.9016  1 Pu 1.82
O3 0.3799 0.7098 0.6529  1 H 0.98
O4 0.6171 0.3253 0.3105  1 H 0.98
O5 0.7359 0.7998 0.1399  1 Be 1.68
O6 0.8515 0.1759 0.7401  1 Pu 1.83

crystal system = triclinic
raw total energy = -7.2044 eV per atom

No. 4
A relaxed RbBeHO2 crystal. Source: Alexandria via LeMat-Bulk, functional PBE-GGA.

Cell: 5.9185 5.9185 4.1414 Å, 90.00 90.00 133.08°
With the nearest neighbours (Å) after each atom.
Fractional positions:
Rb1 0.2500 0.7500 0.7606  8 O 2.88-3.10, 2 H 2.89, 4 Rb 3.08-3.20, 4 Be 3.15
Rb2 0.7500 0.2500 0.2394  8 O 2.88-3.10, 2 H 2.89, 4 Rb 3.08-3.20, 4 Be 3.15
Be1 0.2500 0.2500 0.5000  4 O 1.70
Be2 0.7500 0.7500 0.5000  4 O 1.70
H1 0.0000 0.0000 0.0000  2 O 1.28
H2 0.5000 0.5000 0.0000  2 O 1.28
O1 0.0645 0.9355 0.2585  1 H 1.28
O2 0.4355 0.5645 0.2585  1 H 1.28
O3 0.5645 0.4355 0.7415  1 H 1.28
O4 0.9355 0.0645 0.7415  1 H 1.28

crystal system = orthorhombic
raw total energy = -5.2696 eV per atom

No. 5
A relaxed Rb2BeHO2 crystal. Source: Alexandria via LeMat-Bulk, functional PBE-GGA.

Cell: 7.8523 7.8523 7.8523 Å, 109.11 79.99 147.83°
With the nearest neighbours (Å) after each atom.
Fractional positions:
Rb1 0.1312 0.2331 0.3643  3 O 2.76-2.90, 2 H 2.86
Rb2 0.3688 0.7331 0.1018  3 O 2.76-2.90, 2 H 2.86
Rb3 0.6312 0.2669 0.8982  3 O 2.76-2.90, 2 H 2.86
Rb4 0.8688 0.7669 0.6357  3 O 2.76-2.90, 2 H 2.86
Be1 0.2500 0.7500 0.5000  4 O 1.66
Be2 0.7500 0.2500 0.5000  4 O 1.66
H1 0.2500 0.2500 0.0000  2 H 2.18
H2 0.7500 0.7500 0.0000  2 H 2.18
O1 0.0728 0.5980 0.6709  2 Be 1.66
O2 0.4272 0.0980 0.5252  2 Be 1.66
O3 0.5728 0.9020 0.4748  2 Be 1.66
O4 0.9272 0.4020 0.3291  2 Be 1.66

crystal system = orthorhombic
raw total energy = -4.3330 eV per atom

No. 6
A relaxed Be2HRhO crystal. Source: Alexandria via LeMat-Bulk, functional PBE-GGA.

Cell: 3.1200 3.1200 4.7360 Å, 90.00 90.00 90.00°
With the nearest neighbours (Å) after each atom.
Fractional positions:
Be1 0.0000 0.5000 0.0000  2 O 1.56
Be2 0.5000 0.0000 0.0000  2 O 1.56
H1 0.0000 0.0000 0.5000  4 Rh 2.21
Rh1 0.5000 0.5000 0.5000  4 H 2.21, 2 O 2.37
O1 0.5000 0.5000 0.0000  4 Be 1.56

crystal system = tetragonal
raw total energy = -4.8079 eV per atom

No. 7
A relaxed BeH8SO8 crystal. Source: Alexandria via LeMat-Bulk, functional PBE-GGA.

Cell: 7.9408 7.9408 7.9408 Å, 119.94 119.94 90.11°
With the nearest neighbours (Å) after each atom.
Fractional positions:
Be1 0.0000 0.0000 0.0000  4 O 1.62
Be2 0.5000 0.5000 0.0000  4 O 1.62
H1 0.0114 0.6703 0.9094  1 O 1.00
H2 0.0796 0.8861 0.7309  1 O 1.01
H3 0.1139 0.8448 0.1935  1 O 1.01
H4 0.1513 0.3448 0.7309  1 O 1.01
H5 0.1552 0.3487 0.2691  1 O 1.01
H6 0.2609 0.1703 0.6589  1 O 1.00
H7 0.3297 0.2391 0.3411  1 O 1.00
H8 0.3981 0.7391 0.9094  1 O 1.00
H9 0.5114 0.6019 0.3411  1 O 1.00
H10 0.5796 0.8487 0.1935  1 O 1.01
H11 0.6139 0.4204 0.2691  1 O 1.01
H12 0.6513 0.9204 0.8065  1 O 1.01
H13 0.6552 0.3861 0.8065  1 O 1.01
H14 0.7609 0.1019 0.0906  1 O 1.00
H15 0.8297 0.4886 0.0906  1 O 1.00
H16 0.8981 0.9886 0.6589  1 O 1.00
S1 0.2500 0.7500 0.5000  4 O 1.49
S2 0.7500 0.2500 0.5000  4 O 1.49
O1 0.0634 0.8206 0.0365  2 H 1.00-1.01
O2 0.0882 0.5462 0.2849  1 S 1.49, 1 H 1.62
O3 0.1794 0.2159 0.2429  2 H 1.00-1.01
O4 0.1967 0.9118 0.4581  1 S 1.49, 1 H 1.62
O5 0.2613 0.8033 0.7151  1 S 1.49, 1 H 1.62
O6 0.2841 0.3206 0.7571  2 H 1.00-1.01
O7 0.4538 0.7387 0.5419  1 S 1.49, 1 H 1.62
O8 0.4730 0.7159 0.0365  2 H 1.00-1.01
O9 0.5634 0.5270 0.2429  2 H 1.00-1.01
O10 0.5882 0.3033 0.5419  1 S 1.49, 1 H 1.62
O11 0.6794 0.4366 0.9635  2 H 1.00-1.01
O12 0.6967 0.2387 0.2849  1 S 1.49, 1 H 1.62
O13 0.7613 0.0462 0.4581  1 S 1.49, 1 H 1.62
O14 0.7841 0.0270 0.9635  2 H 1.00-1.01
O15 0.9538 0.4118 0.7151  1 S 1.49, 1 H 1.62
O16 0.9730 0.9366 0.7571  2 H 1.00-1.01

crystal system = tetragonal
raw total energy = -5.4754 eV per atom

No. 8
A relaxed BeH8SeO8 crystal. Source: Alexandria via LeMat-Bulk, functional PBE-GGA.

Cell: 8.2990 8.2990 11.0067 Å, 90.00 90.00 87.04°
With the nearest neighbours (Å) after each atom.
Fractional positions:
Be1 0.2473 0.7527 0.7675  4 O 1.62-1.63
Be2 0.2527 0.7473 0.2675  4 O 1.62-1.63
Be3 0.7473 0.2527 0.7325  4 O 1.62-1.63
Be4 0.7527 0.2473 0.2325  4 O 1.62-1.63
H1 0.0011 0.8628 0.8418  1 O 1.01
H2 0.0150 0.7036 0.1655  1 O 1.00
H3 0.0617 0.6515 0.6330  1 O 1.00
H4 0.0674 0.7973 0.4214  1 O 1.01
H5 0.1372 0.9989 0.8418  1 O 1.01
H6 0.1515 0.5617 0.1330  1 O 1.00
H7 0.2027 0.9326 0.4214  1 O 1.01
H8 0.2036 0.5150 0.6655  1 O 1.00
H9 0.2964 0.9850 0.1655  1 O 1.00
H10 0.2973 0.5674 0.9214  1 O 1.01
H11 0.3485 0.9383 0.6330  1 O 1.00
H12 0.3628 0.5011 0.3418  1 O 1.01
H13 0.4326 0.7027 0.9214  1 O 1.01
H14 0.4383 0.8485 0.1330  1 O 1.00
H15 0.4850 0.7964 0.6655  1 O 1.00
H16 0.4989 0.6372 0.3418  1 O 1.01
H17 0.5011 0.3628 0.6582  1 O 1.01
H18 0.5150 0.2036 0.3345  1 O 1.00
H19 0.5617 0.1515 0.8670  1 O 1.00
H20 0.5674 0.2973 0.0786  1 O 1.01
H21 0.6372 0.4989 0.6582  1 O 1.01
H22 0.6515 0.0617 0.3670  1 O 1.00
H23 0.7027 0.4326 0.0786  1 O 1.01
H24 0.7036 0.0150 0.8345  1 O 1.00
H25 0.7964 0.4850 0.3345  1 O 1.00
H26 0.7973 0.0674 0.5786  1 O 1.01
H27 0.8485 0.4383 0.8670  1 O 1.00
H28 0.8628 0.0011 0.1582  1 O 1.01
H29 0.9326 0.2027 0.5786  1 O 1.01
H30 0.9383 0.3485 0.3670  1 O 1.00
H31 0.9850 0.2964 0.8345  1 O 1.00
H32 0.9989 0.1372 0.1582  1 O 1.01
Se1 0.2495 0.2495 0.0000  4 O 1.67-1.68
Se2 0.2505 0.2505 0.5000  4 O 1.67-1.68
Se3 0.7495 0.7495 0.5000  4 O 1.67-1.68
Se4 0.7505 0.7505 0.0000  4 O 1.67-1.68
O1 0.0519 0.2904 0.4844  2 H 1.63-1.66, 1 Se 1.67
O2 0.1140 0.8860 0.8166  2 H 1.01
O3 0.1193 0.6484 0.1929  2 H 1.00
O4 0.1484 0.6193 0.6929  2 H 1.00
O5 0.1494 0.8506 0.3696  2 H 1.01
O6 0.1511 0.1880 0.8765  2 H 1.62-1.67, 1 Se 1.68
O7 0.1880 0.1511 0.1235  2 H 1.62-1.67, 1 Se 1.68
O8 0.2096 0.4481 0.0156  2 H 1.63-1.66, 1 Se 1.67
O9 0.2904 0.0519 0.5156  2 H 1.63-1.66, 1 Se 1.67
O10 0.3120 0.3489 0.6235  2 H 1.62-1.67, 1 Se 1.68
O11 0.3489 0.3120 0.3765  2 H 1.62-1.67, 1 Se 1.68
O12 0.3506 0.6494 0.8696  2 H 1.01
O13 0.3516 0.8807 0.1929  2 H 1.00
O14 0.3807 0.8516 0.6929  2 H 1.00
O15 0.3860 0.6140 0.3166  2 H 1.01
O16 0.4481 0.2096 0.9844  2 H 1.63-1.66, 1 Se 1.67
O17 0.5519 0.7904 0.0156  2 H 1.63-1.66, 1 Se 1.67
O18 0.6140 0.3860 0.6834  2 H 1.01
O19 0.6193 0.1484 0.3071  2 H 1.00
O20 0.6484 0.1193 0.8071  2 H 1.00
O21 0.6494 0.3506 0.1304  2 H 1.01
O22 0.6511 0.6880 0.6235  2 H 1.62-1.67, 1 Se 1.68
O23 0.6880 0.6511 0.3765  2 H 1.62-1.67, 1 Se 1.68
O24 0.7096 0.9481 0.4844  2 H 1.63-1.66, 1 Se 1.67
O25 0.7904 0.5519 0.9844  2 H 1.63-1.66, 1 Se 1.67
O26 0.8120 0.8489 0.8765  2 H 1.62-1.67, 1 Se 1.68
O27 0.8489 0.8120 0.1235  2 H 1.62-1.67, 1 Se 1.68
O28 0.8506 0.1494 0.6304  2 H 1.01
O29 0.8516 0.3807 0.3071  2 H 1.00
O30 0.8807 0.3516 0.8071  2 H 1.00
O31 0.8860 0.1140 0.1834  2 H 1.01
O32 0.9481 0.7096 0.5156  2 H 1.63-1.66, 1 Se 1.67

crystal system = orthorhombic
raw total energy = -5.2675 eV per atom

No. 9
A relaxed Be4Si2H2O9 crystal. Source: Alexandria via LeMat-Bulk, functional PBE-GGA.

Cell: 8.8734 8.8734 4.6141 Å, 90.00 90.00 120.65°
With the nearest neighbours (Å) after each atom.
Fractional positions:
Be1 0.1057 0.5457 0.0061  4 O 1.64-1.66
Be2 0.1203 0.2254 0.0000  4 O 1.63-1.67
Be3 0.2254 0.1203 0.5000  4 O 1.63-1.67
Be4 0.4543 0.8943 0.0061  4 O 1.64-1.66
Be5 0.5457 0.1057 0.5061  4 O 1.64-1.66
Be6 0.7746 0.8797 0.0000  4 O 1.63-1.67
Be7 0.8797 0.7746 0.5000  4 O 1.63-1.67
Be8 0.8943 0.4543 0.5061  4 O 1.64-1.66
Si1 0.2098 0.4387 0.5040  4 O 1.63-1.65
Si2 0.4387 0.2098 0.0040  4 O 1.63-1.65
Si3 0.5613 0.7902 0.5040  4 O 1.63-1.65
Si4 0.7902 0.5613 0.0040  4 O 1.63-1.65
H1 0.1331 0.8669 0.6994  1 O 0.98
H2 0.2002 0.7998 0.2135  1 O 0.98
H3 0.7998 0.2002 0.7135  1 O 0.98
H4 0.8669 0.1331 0.1994  1 O 0.98
O1 0.0820 0.5001 0.6580  2 Be 1.64-1.66, 1 Si 1.65
O2 0.0877 0.9123 0.5520  1 H 0.98
O3 0.1631 0.4126 0.1566  1 Si 1.64, 2 Be 1.66-1.67
O4 0.1682 0.2528 0.6519  1 Si 1.64, 2 Be 1.65
O5 0.2456 0.7544 0.0655  1 H 0.98
O6 0.2528 0.1682 0.1519  1 Si 1.64, 2 Be 1.65
O7 0.4126 0.1631 0.6566  1 Si 1.64, 2 Be 1.66-1.67
O8 0.4144 0.5856 0.5625  2 Si 1.63
O9 0.5001 0.0820 0.1580  2 Be 1.64-1.66, 1 Si 1.65
O10 0.4999 0.9180 0.6580  2 Be 1.64-1.66, 1 Si 1.65
O11 0.5856 0.4144 0.0625  2 Si 1.63
O12 0.5874 0.8369 0.1566  1 Si 1.64, 2 Be 1.66-1.67
O13 0.7472 0.8318 0.6519  1 Si 1.64, 2 Be 1.65
O14 0.7544 0.2456 0.5655  1 H 0.98
O15 0.8318 0.7472 0.1519  1 Si 1.64, 2 Be 1.65
O16 0.8369 0.5874 0.6566  1 Si 1.64, 2 Be 1.66-1.67
O17 0.9123 0.0877 0.0520  1 H 0.98
O18 0.9180 0.4999 0.1580  2 Be 1.64-1.66, 1 Si 1.65

crystal system = orthorhombic
raw total energy = -7.0192 eV per atom

No. 10
A relaxed SmBeH2O4 crystal. Source: Alexandria via LeMat-Bulk, functional PBE-GGA.

Cell: 4.6031 4.6031 4.6031 Å, 124.14 107.29 98.14°
With the nearest neighbours (Å) after each atom.
Fractional positions:
Sm1 0.0000 0.0000 0.0000  8 O 2.44-2.47
Be1 0.5000 0.5000 0.0000  4 O 1.66
H1 0.3351 0.8351 0.5000  2 O 1.24
H2 0.6649 0.1649 0.5000  2 O 1.24
O1 0.2086 0.0736 0.6066  1 H 1.24
O2 0.4670 0.6020 0.3934  1 H 1.24
O3 0.5330 0.9264 0.1351  1 H 1.24
O4 0.7914 0.3980 0.8649  1 H 1.24

crystal system = orthorhombic
raw total energy = -6.2744 eV per atom

No. 11
A relaxed SrBeH4O4 crystal. Source: Alexandria via LeMat-Bulk, functional PBE-GGA.

Cell: 10.9857 10.9857 10.9857 Å, 127.77 127.77 77.00°
With the nearest neighbours (Å) after each atom.
Fractional positions:
Sr1 0.1250 0.3750 0.7500  8 O 2.60-2.64
Sr2 0.1250 0.8750 0.2500  8 O 2.58-2.74
Sr3 0.3750 0.1250 0.2500  8 O 2.60-2.64
Sr4 0.3750 0.6250 0.7500  8 O 2.58-2.74
Sr5 0.6250 0.3750 0.2500  8 O 2.58-2.74
Sr6 0.6250 0.8750 0.7500  8 O 2.60-2.64
Sr7 0.8750 0.1250 0.7500  8 O 2.58-2.74
Sr8 0.8750 0.6250 0.2500  8 O 2.60-2.64
Be1 0.2145 0.2500 0.4645  4 O 1.64-1.66
Be2 0.2500 0.2855 0.0355  4 O 1.64-1.66
Be3 0.2500 0.7855 0.5355  4 O 1.64-1.66
Be4 0.2855 0.7500 0.0355  4 O 1.64-1.66
Be5 0.7145 0.2500 0.9645  4 O 1.64-1.66
Be6 0.7500 0.2145 0.4645  4 O 1.64-1.66
Be7 0.7500 0.7145 0.9645  4 O 1.64-1.66
Be8 0.7855 0.7500 0.5355  4 O 1.64-1.66
H1 0.0165 0.0861 0.1333  1 O 0.97
H2 0.0189 0.6892 0.8478  1 O 0.97
H3 0.0472 0.4139 0.4304  1 O 0.97
H4 0.0861 0.4528 0.0696  1 O 0.97
H5 0.1168 0.9835 0.5696  1 O 0.97
H6 0.1586 0.8108 0.8298  1 O 0.97
H7 0.1712 0.0189 0.8298  1 O 0.97
H8 0.1892 0.5189 0.3478  1 O 0.97
H9 0.3108 0.6586 0.3298  1 O 0.97
H10 0.3288 0.1586 0.8478  1 O 0.97
H11 0.3414 0.1712 0.6522  1 O 0.97
H12 0.3832 0.9528 0.8667  1 O 0.97
H13 0.4139 0.4835 0.3667  1 O 0.97
H14 0.4528 0.8832 0.3667  1 O 0.97
H15 0.4811 0.3288 0.6702  1 O 0.97
H16 0.4835 0.6168 0.0696  1 O 0.97
H17 0.5165 0.3832 0.9304  1 O 0.97
H18 0.5189 0.6712 0.3298  1 O 0.97
H19 0.5472 0.1168 0.6333  1 O 0.97
H20 0.5861 0.5165 0.6333  1 O 0.97
H21 0.6168 0.0472 0.1333  1 O 0.97
H22 0.6586 0.8288 0.3478  1 O 0.97
H23 0.6712 0.8414 0.1522  1 O 0.97
H24 0.6892 0.3414 0.6702  1 O 0.97
H25 0.8108 0.4811 0.6522  1 O 0.97
H26 0.8288 0.9811 0.1702  1 O 0.97
H27 0.8414 0.1892 0.1702  1 O 0.97
H28 0.8832 0.0165 0.4304  1 O 0.97
H29 0.9139 0.5472 0.9304  1 O 0.97
H30 0.9528 0.5861 0.5696  1 O 0.97
H31 0.9811 0.3108 0.1522  1 O 0.97
H32 0.9835 0.9139 0.8667  1 O 0.97
O1 0.1012 0.8697 0.4810  1 H 0.97
O2 0.1087 0.6743 0.9411  1 H 0.97
O3 0.1113 0.3798 0.9810  1 H 0.97
O4 0.1202 0.3887 0.5190  1 H 0.97
O5 0.1303 0.1113 0.2315  1 H 0.97
O6 0.1677 0.1087 0.9345  1 H 0.97
O7 0.1743 0.6087 0.4411  1 H 0.97
O8 0.2332 0.1677 0.5589  1 H 0.97
O9 0.2668 0.8257 0.9345  1 H 0.97
O10 0.3257 0.7668 0.4345  1 H 0.97
O11 0.3323 0.2668 0.9411  1 H 0.97
O12 0.3697 0.6012 0.9810  1 H 0.97
O13 0.3798 0.8988 0.2685  1 H 0.97
O14 0.3887 0.3697 0.2685  1 H 0.97
O15 0.3913 0.3323 0.5655  1 H 0.97
O16 0.3988 0.8798 0.7685  1 H 0.97
O17 0.6012 0.1202 0.2315  1 H 0.97
O18 0.6087 0.6677 0.4345  1 H 0.97
O19 0.6113 0.6303 0.7315  1 H 0.97
O20 0.6202 0.1012 0.7315  1 H 0.97
O21 0.6303 0.3988 0.0190  1 H 0.97
O22 0.6677 0.7332 0.0589  1 H 0.97
O23 0.6743 0.2332 0.5655  1 H 0.97
O24 0.7332 0.1743 0.0655  1 H 0.97
O25 0.7668 0.8323 0.4411  1 H 0.97
O26 0.8257 0.3913 0.5589  1 H 0.97
O27 0.8323 0.8913 0.0655  1 H 0.97
O28 0.8697 0.8887 0.7685  1 H 0.97
O29 0.8798 0.6113 0.4810  1 H 0.97
O30 0.8887 0.6202 0.0190  1 H 0.97
O31 0.8913 0.3257 0.0589  1 H 0.97
O32 0.8988 0.1303 0.5190  1 H 0.97

crystal system = tetragonal
raw total energy = -5.6637 eV per atom

No. 12
A relaxed BeHOs crystal. Source: Alexandria via LeMat-Bulk, functional PBE-GGA.

Cell: 2.9699 2.9935 2.9935 Å, 74.21 90.00 90.00°
With the nearest neighbours (Å) after each atom.
Fractional positions:
Be1 0.0000 0.0000 0.0000  2 H 1.88
H1 0.5000 0.2421 0.2421  3 Os 1.80-1.90, 2 Be 1.88
Os1 0.5000 0.6200 0.6200  3 H 1.80-1.90

crystal system = orthorhombic
raw total energy = -5.9526 eV per atom